# Ta2PtAu, relaxed, DFT GGA-PBE
# * energy of formation from the pure elements: -107 kJ/mol of formula units
# * energy: -8.534 eV/atom
data_Ta2PtAu
_cell_length_a 9.4072
_cell_length_b 2.9485
_cell_length_c 5.0972
_cell_angle_alpha 90.00
_cell_angle_beta 101.33
_cell_angle_gamma 90.00
_space_group_name_H-M_alt 'C 1 m 1'
_space_group_IT_number 8
loop_
_space_group_symop_operation_xyz
'x,y,z'
'x,-y,z'
'x+1/2,y+1/2,z'
'x+1/2,-y+1/2,z'
loop_
_atom_site_label
_atom_site_type_symbol
_atom_site_fract_x
_atom_site_fract_y
_atom_site_fract_z
_atom_site_occupancy
Ta1 Ta 0.0000 0.0000 0.0000 1
Ta2 Ta 0.2406 0.5000 0.2852 1
Pt1 Pt 0.4874 0.0000 0.4948 1
Au1 Au 0.2459 0.0000 0.7759 1